1.
Entry from Alexandria: a geometry-optimized InTcRu2 structure (GGA-PBE).

Computed properties:
crystal system	monoclinic
formation energy	0.241	eV/atom
symmetry	C2/m

Lattice parameters (Å, degrees): 4.7873 4.7873 4.9474 79.90 79.90 34.43
Element x y z (fractional)
Ru 0.9898 0.9898 0.0303
In 0.7500 0.7500 0.7500
Ru 0.5102 0.5102 0.4697
Tc 0.2500 0.2500 0.2500

***

2.
Entry from Alexandria: a geometry-optimized In2TcRu structure (GGA-PBE).

Computed properties:
crystal system	cubic
formation energy	0.274	eV/atom
symmetry	Fm-3m

Lattice parameters (Å, degrees): 4.6022 4.6022 4.6022 60.00 60.00 60.00
Element x y z (fractional)
In 0.7500 0.7500 0.7500
In 0.2500 0.2500 0.2500
Tc 0.0000 0.0000 0.0000
Ru 0.5000 0.5000 0.5000

***

3.
Entry from Alexandria: a geometry-optimized InTcRu2 structure (GGA-PBE).

Computed properties:
crystal system	tetragonal
formation energy	0.657	eV/atom
symmetry	I-42d

Lattice parameters (Å, degrees): 7.1850 7.1850 5.7810 51.58 51.58 90.00
Element x y z (fractional)
Tc 0.2500 0.7500 0.5000
In 0.7500 0.2500 0.5000
Ru 0.5751 0.1250 0.2500
Tc 0.5000 0.5000 0.0000
In 0.0000 0.0000 0.0000
Ru 0.1749 0.6250 0.2500
Ru 0.3750 0.4249 0.7500
Ru 0.8750 0.8251 0.7500

***

4.
Entry from Alexandria: a geometry-optimized InTc2Ru structure (GGA-PBE).

Computed properties:
crystal system	tetragonal
formation energy	0.378	eV/atom
symmetry	P4/mmm

Lattice parameters (Å, degrees): 4.3871 3.7962 3.7962 90.00 90.00 90.00
Element x y z (fractional)
In 0.5000 0.5000 0.0000
Ru 0.5000 0.0000 0.5000
Tc 0.0000 0.0000 0.0000
Tc 0.0000 0.5000 0.5000

***

5.
Entry from Alexandria: a geometry-optimized InTc2Ru structure (GGA-PBE).

Computed properties:
crystal system	cubic
formation energy	0.313	eV/atom
symmetry	F-43m

Lattice parameters (Å, degrees): 4.4701 4.4701 4.4701 60.00 60.00 60.00
Element x y z (fractional)
Tc 0.7500 0.7500 0.7500
Ru 0.2500 0.2500 0.2500
Tc 0.0000 0.0000 0.0000
In 0.5000 0.5000 0.5000

***

6.
Entry from Alexandria: a geometry-optimized In2TcRu structure (GGA-PBE).

Computed properties:
crystal system	tetragonal
formation energy	0.123	eV/atom
symmetry	P4mm

Lattice parameters (Å, degrees): 2.9606 2.9606 8.5017 90.00 90.00 90.00
Element x y z (fractional)
In 0.0000 0.0000 0.9568
Ru 0.0000 0.0000 0.5323
In 0.5000 0.5000 0.2962
Tc 0.5000 0.5000 0.7147

***

7.
Entry from Alexandria: a geometry-optimized In2TcRu structure (GGA-PBE).

Computed properties:
crystal system	trigonal
formation energy	0.358	eV/atom
symmetry	R-3m

Lattice parameters (Å, degrees): 8.9480 8.9480 8.9480 19.58 19.58 19.58
Element x y z (fractional)
In 0.9986 0.9986 0.9986
Ru 0.2500 0.2500 0.2500
Tc 0.7500 0.7500 0.7500
In 0.5014 0.5014 0.5014

***

8.
Entry from Alexandria: a geometry-optimized InTc2Ru structure (GGA-PBE).

Computed properties:
crystal system	tetragonal
formation energy	0.150	eV/atom
symmetry	P4mm

Lattice parameters (Å, degrees): 2.8712 2.8712 7.6795 90.00 90.00 90.00
Element x y z (fractional)
Ru 0.5000 0.5000 0.7715
Tc 0.5000 0.5000 0.2268
Tc 0.0000 0.0000 0.9973
In 0.0000 0.0000 0.5044

***

9.
Entry from Alexandria: a geometry-optimized InTcRu structure (GGA-PBE).

Computed properties:
crystal system	tetragonal
formation energy	0.050	eV/atom
symmetry	I4mm

Lattice parameters (Å, degrees): 6.1340 6.1339 2.9093 76.28 76.28 27.44
Element x y z (fractional)
In 0.9985 0.9985 0.0015
Ru 0.3190 0.3190 0.6810
Tc 0.6824 0.6824 0.3176

***

10.
Entry from Alexandria: a geometry-optimized InTcRu2 structure (GGA-PBE).

Computed properties:
crystal system	orthorhombic
formation energy	0.311	eV/atom
symmetry	Cmmm

Lattice parameters (Å, degrees): 4.7507 4.7507 2.8684 90.00 90.00 105.82
Element x y z (fractional)
In 0.0000 0.5000 0.5000
Tc 0.5000 0.0000 0.5000
Ru 0.0000 0.0000 0.0000
Ru 0.5000 0.5000 0.0000

***

11.
Entry from Alexandria: a geometry-optimized In2TcRu structure (GGA-PBE).

Computed properties:
crystal system	tetragonal
formation energy	0.777	eV/atom
symmetry	I-42d

Lattice parameters (Å, degrees): 7.4017 7.4017 5.9489 51.53 51.53 90.00
Element x y z (fractional)
Tc 0.5000 0.5000 0.0000
Ru 0.7500 0.2500 0.5000
In 0.3750 0.3670 0.7500
In 0.6330 0.1250 0.2500
Tc 0.2500 0.7500 0.5000
In 0.1170 0.6250 0.2500
Ru 0.0000 0.0000 0.0000
In 0.8750 0.8830 0.7500

***

12.
Entry from Alexandria: a geometry-optimized InTc2Ru structure (GGA-PBE).

Computed properties:
crystal system	orthorhombic
formation energy	0.364	eV/atom
symmetry	Cmmm

Lattice parameters (Å, degrees): 4.9772 4.9772 2.8445 90.02 90.02 116.27
Element x y z (fractional)
Tc 0.5000 0.5000 0.0000
Tc 0.0000 0.0000 0.0000
Ru 0.0000 0.5000 0.5000
In 0.5000 0.0000 0.5000

***

13.
Entry from Alexandria: a geometry-optimized InTc2Ru structure (GGA-PBE).

Computed properties:
crystal system	monoclinic
formation energy	0.228	eV/atom
symmetry	C2/m

Lattice parameters (Å, degrees): 4.9627 4.9627 4.7451 78.04 78.04 33.77
Element x y z (fractional)
In 0.7500 0.7500 0.7500
Tc 0.9858 0.9858 0.0290
Ru 0.2500 0.2500 0.2500
Tc 0.5142 0.5142 0.4710

***

14.
Entry from Alexandria: a geometry-optimized InTcRu2 structure (GGA-PBE).

Computed properties:
crystal system	tetragonal
formation energy	0.264	eV/atom
symmetry	I4/mmm

Lattice parameters (Å, degrees): 4.7703 4.7703 4.7703 129.83 129.83 73.68
Element x y z (fractional)
Ru 0.0000 0.0000 0.0000
Tc 0.2500 0.7500 0.5000
In 0.7500 0.2500 0.5000
Ru 0.5000 0.5000 0.0000

***

15.
Entry from Alexandria: a geometry-optimized In2TcRu structure (GGA-PBE).

Computed properties:
crystal system	orthorhombic
formation energy	0.049	eV/atom
symmetry	Amm2

Lattice parameters (Å, degrees): 2.9359 2.9875 8.5382 79.90 90.00 90.00
Element x y z (fractional)
In 0.0000 0.2084 0.9587
Tc 0.5000 0.8292 0.7165
Ru 0.0000 0.4227 0.5303
In 0.5000 0.0397 0.2945

***

16.
Entry from Alexandria: a geometry-optimized In2TcRu structure (GGA-PBE).

Computed properties:
crystal system	tetragonal
formation energy	0.262	eV/atom
symmetry	P4/mmm

Lattice parameters (Å, degrees): 4.6238 4.6238 3.2233 90.00 90.00 89.99
Element x y z (fractional)
In 0.5000 0.5000 0.0000
Ru 0.5000 0.0000 0.5000
Tc 0.0000 0.5000 0.5000
In 0.0000 0.0000 0.0000

***

17.
Entry from Alexandria: a geometry-optimized In2TcRu structure (GGA-PBE).

Computed properties:
crystal system	monoclinic
formation energy	0.356	eV/atom
symmetry	C2/m

Lattice parameters (Å, degrees): 4.7059 4.7059 5.3520 79.97 79.97 37.13
Element x y z (fractional)
In 0.9982 0.9982 0.0037
In 0.5018 0.5018 0.4963
Tc 0.7500 0.7500 0.7500
Ru 0.2500 0.2500 0.2500

***

18.
Entry from Alexandria: a geometry-optimized InTc2Ru structure (GGA-PBE).

Computed properties:
crystal system	tetragonal
formation energy	0.306	eV/atom
symmetry	I-4m2

Lattice parameters (Å, degrees): 4.9402 4.9402 4.9402 133.29 133.29 68.20
Element x y z (fractional)
Tc 0.0000 0.0000 0.0000
In 0.5000 0.5000 0.0000
Ru 0.7500 0.2500 0.5000
Tc 0.2500 0.7500 0.5000

***

19.
Entry from Alexandria: a geometry-optimized InTc2Ru structure (GGA-PBE).

Computed properties:
crystal system	trigonal
formation energy	0.282	eV/atom
symmetry	R-3m

Lattice parameters (Å, degrees): 9.1731 9.1731 9.1731 17.86 17.86 17.86
Element x y z (fractional)
Ru 0.7500 0.7500 0.7500
Tc 0.0058 0.0058 0.0058
In 0.2500 0.2500 0.2500
Tc 0.4942 0.4942 0.4942

***

20.
Entry from Alexandria: a geometry-optimized InTcRu2 structure (GGA-PBE).

Computed properties:
crystal system	tetragonal
formation energy	0.263	eV/atom
symmetry	I-4m2

Lattice parameters (Å, degrees): 5.0134 5.0134 5.0134 135.00 135.00 65.53
Element x y z (fractional)
Ru 0.2500 0.7500 0.5000
Ru 0.0000 0.0000 0.0000
Tc 0.5000 0.5000 0.0000
In 0.7500 0.2500 0.5000

***

21.
Entry from Alexandria: a geometry-optimized In2TcRu structure (GGA-PBE).

Computed properties:
crystal system	monoclinic
formation energy	0.422	eV/atom
symmetry	P2/m

Lattice parameters (Å, degrees): 4.4402 2.9554 5.4201 84.72 90.00 90.00
Element x y z (fractional)
In 0.0000 0.4855 0.4980
Ru 0.5000 0.2500 0.2500
Tc 0.5000 0.7500 0.7500
In 0.0000 0.0145 0.0020

***

22.
Entry from Alexandria: a geometry-optimized InTc2Ru structure (GGA-PBE).

Computed properties:
crystal system	tetragonal
formation energy	0.488	eV/atom
symmetry	P4/mmm

Lattice parameters (Å, degrees): 4.6599 4.6599 2.9231 90.00 90.00 90.00
Element x y z (fractional)
Tc 0.0000 0.0000 0.0000
Ru 0.0000 0.5000 0.5000
In 0.5000 0.0000 0.5000
Tc 0.5000 0.5000 0.0000

***

23.
Entry from Alexandria: a geometry-optimized InTcRu2 structure (GGA-PBE).

Computed properties:
crystal system	orthorhombic
formation energy	0.321	eV/atom
symmetry	Imm2

Lattice parameters (Å, degrees): 5.2782 5.2782 5.2782 146.05 129.79 62.00
Element x y z (fractional)
Ru 0.0020 0.0020 0.0000
Tc 0.5045 0.5045 0.0000
Ru 0.7430 0.2430 0.5000
In 0.2505 0.7505 0.5000

***

24.
Entry from Alexandria: a geometry-optimized InTcRu2 structure (GGA-PBE).

Computed properties:
crystal system	trigonal
formation energy	0.216	eV/atom
symmetry	R-3m

Lattice parameters (Å, degrees): 9.0767 9.0767 9.0767 18.04 18.04 18.04
Element x y z (fractional)
In 0.7500 0.7500 0.7500
Ru 0.5050 0.5050 0.5050
Ru 0.9950 0.9950 0.9950
Tc 0.2500 0.2500 0.2500

***

25.
Entry from Alexandria: a geometry-optimized InTc2Ru structure (GGA-PBE).

Computed properties:
crystal system	monoclinic
formation energy	0.220	eV/atom
symmetry	Pm

Lattice parameters (Å, degrees): 3.8778 2.8575 6.3889 64.41 90.00 90.00
Element x y z (fractional)
Tc 0.0000 0.0232 0.0119
Tc 0.5000 0.2501 0.2143
In 0.0000 0.4864 0.5088
Ru 0.5000 0.7403 0.7650

***

26.
Entry from Alexandria: a geometry-optimized InTc2Ru structure (GGA-PBE).

Computed properties:
crystal system	monoclinic
formation energy	0.244	eV/atom
symmetry	Cm

Lattice parameters (Å, degrees): 4.8413 4.8413 4.9000 77.88 77.88 34.73
Element x y z (fractional)
Tc 0.7372 0.7372 0.8038
Ru 0.2628 0.2628 0.2427
Tc 0.9972 0.9972 0.9732
In 0.5028 0.5028 0.4803

***

27.
Entry from Alexandria: a geometry-optimized In2TcRu structure (GGA-PBE).

Computed properties:
crystal system	monoclinic
formation energy	0.215	eV/atom
symmetry	Cm

Lattice parameters (Å, degrees): 5.3600 5.3600 4.8770 70.60 70.60 32.35
Element x y z (fractional)
Tc 0.7723 0.7723 0.7983
In 0.0163 0.0163 0.9349
Ru 0.4787 0.4787 0.4500
In 0.2327 0.2327 0.3168

***

28.
Entry from Alexandria: a geometry-optimized InTcRu2 structure (GGA-PBE).

Computed properties:
crystal system	monoclinic
formation energy	0.174	eV/atom
symmetry	P2/m

Lattice parameters (Å, degrees): 3.7548 2.8479 6.5078 64.18 90.00 90.00
Element x y z (fractional)
Tc 0.5000 0.2500 0.2500
Ru 0.0000 0.9779 0.0231
Ru 0.0000 0.5221 0.4769
In 0.5000 0.7500 0.7500

***

29.
Entry from Alexandria: a geometry-optimized InTcRu2 structure (GGA-PBE).

Computed properties:
crystal system	tetragonal
formation energy	0.321	eV/atom
symmetry	P4/mmm

Lattice parameters (Å, degrees): 3.0606 4.5257 4.5257 90.00 90.00 90.00
Element x y z (fractional)
Ru 0.0000 0.5000 0.5000
In 0.5000 0.0000 0.5000
Tc 0.5000 0.5000 0.0000
Ru 0.0000 0.0000 0.0000

***

30.
Entry from Alexandria: a geometry-optimized InTcRu2 structure (GGA-PBE).

Computed properties:
crystal system	tetragonal
formation energy	0.079	eV/atom
symmetry	P4/mmm

Lattice parameters (Å, degrees): 2.8799 2.8799 7.5248 90.00 90.00 89.98
Element x y z (fractional)
In 0.5000 0.5000 0.7500
Tc 0.5000 0.5000 0.2500
Ru 0.0000 0.0000 0.4781
Ru 0.0000 0.0000 0.0219